Entry 1:
Material: TaMnTc4
Method: DFT, PBE-GGA
State: relaxed

Properties
Raw total energy   -10.3077 eV/atom
Space group   F-43m (216)
N(E_F)   0.9315 states/eV/atom
Crystal system   cubic
DFT formation energy   107 meV per atom

```
TaMnTc4
1.0
0.0000 3.6221 3.6221
3.6221 0.0000 3.6221
3.6221 3.6221 0.0000
Ta Mn Tc
1 1 4
direct
0.0000 0.0000 0.0000
0.2500 0.2500 0.2500
0.1272 0.6242 0.6242
0.6242 0.1272 0.6242
0.6242 0.6242 0.1272
0.6242 0.6242 0.6242
```



Entry 2:
Material: TaMnTcW
Method: DFT, PBE-GGA
State: relaxed

Properties
Raw total energy   -11.1956 eV/atom
Space group   F-43m (216)
N(E_F)   0.6823 states/eV/atom
Crystal system   cubic
DFT formation energy   -110 meV per atom

```
TaMnTcW
1.0
0.0000 3.1013 3.1013
3.1013 0.0000 3.1013
3.1013 3.1013 0.0000
Ta Mn Tc W
1 1 1 1
direct
0.0000 0.0000 0.0000
0.2500 0.2500 0.2500
0.7500 0.7500 0.7500
0.5000 0.5000 0.5000
```



Entry 3:
Material: TaMnTe2
Method: DFT, PBE-GGA
State: relaxed

Properties
Raw total energy   -7.0763 eV/atom
Space group   P2_1/c (14)
N(E_F)   0.6886 states/eV/atom
Crystal system   monoclinic

```
TaMnTe2
1.0
8.6351 0.0000 0.0000
0.0000 6.3005 0.0000
-3.3273 0.0000 7.2605
Ta Mn Te
4 4 8
direct
0.0180 0.0307 0.3211
0.0180 0.4693 0.8211
0.9820 0.5307 0.1789
0.9820 0.9693 0.6789
0.0921 0.6450 0.5519
0.0921 0.8550 0.0519
0.9079 0.1450 0.9481
0.9079 0.3550 0.4481
0.2265 0.2461 0.1514
0.2265 0.2539 0.6514
0.2946 0.7412 0.3968
0.2946 0.7588 0.8968
0.7054 0.2412 0.1032
0.7054 0.2588 0.6032
0.7735 0.7461 0.3486
0.7735 0.7539 0.8486
```